Arrangement one

NdScAl: optimized geometry, PBE.

a b c (Å): 5.1175 5.1175 3.1048
angles (deg): 90.00 90.00 120.00
With the nearest neighbours (Å) after each atom.
Positions (direct):
Nd 0.0000 0.0000 0.0000  3 Sc 2.95, 2 Nd 3.10
Sc 0.3333 0.6667 0.0000  3 Nd 2.95, 2 Sc 3.10
Al 0.6667 0.3333 0.5000  2 Al 3.10, 6 Nd 3.34, 6 Sc 3.34

Values from the calculation:
As for the total moment: 0.0 μB/f.u.

Arrangement two

NdScAl: optimized geometry, PBE.

a b c (Å): 8.0327 8.0327 8.0327
angles (deg): 24.26 24.26 24.26
With the nearest neighbours (Å) after each atom.
Positions (direct):
Nd 0.0000 0.0000 0.0000  3 Al 3.27, 6 Nd 3.38, 3 Sc 3.53
Sc 0.2077 0.2077 0.2077  3 Al 2.96
Al 0.7791 0.7791 0.7791  3 Sc 2.96, 3 Nd 3.27

Values from the calculation:
As for the total moment: 0.0 μB/f.u.

arrangement two has the most favorable energy; the next structure is 10 meV/atom above.

Arrangement one

NdScAl: optimized geometry, PBE.

a b c (Å): 13.2894 13.2894 13.2894
angles (deg): 165.04 165.04 21.22
With the nearest neighbours (Å) after each atom.
Positions (direct):
Nd 0.0715 0.0715 0.0000  4 Al 3.16, 4 Nd 3.46
Nd 0.9285 0.9285 0.0000  4 Al 3.16, 4 Nd 3.46
Sc 0.2113 0.2113 0.0000  4 Al 2.95, 4 Sc 3.17
Sc 0.7887 0.7887 0.0000  4 Al 2.95, 4 Sc 3.17
Al 0.3517 0.3517 0.0000  4 Sc 2.95, 4 Nd 3.16
Al 0.6483 0.6483 0.0000  4 Sc 2.95, 4 Nd 3.16

Values from the calculation:
As for the total moment: 0.7 μB/f.u.

Arrangement two

NdScAl: optimized geometry, PBE.

a b c (Å): 7.0510 7.0510 7.0510
angles (deg): 152.38 152.38 39.46
With the nearest neighbours (Å) after each atom.
Positions (direct):
Nd 0.0000 0.0000 0.0000  4 Al 3.24, 4 Nd 3.37, 4 Sc 3.58
Sc 0.2990 0.2990 0.0000  4 Al 2.97
Al 0.6657 0.6657 0.0000  4 Sc 2.97, 4 Nd 3.24

Values from the calculation:
As for the total moment: 0.0 μB/f.u.

arrangement two has the most favorable energy; the next structure is 30 meV/atom above.

Arrangement one

Nd2AlSe: optimized geometry, PBE.

a b c (Å): 8.0972 8.0972 8.0972
angles (deg): 29.39 29.39 29.39
With the nearest neighbours (Å) after each atom.
Positions (direct):
Nd 0.2458 0.2458 0.2458  3 Se 3.00, 3 Al 3.12
Nd 0.7542 0.7542 0.7542  3 Se 3.00, 3 Al 3.12
Al 0.0000 0.0000 0.0000  6 Nd 3.12
Se 0.5000 0.5000 0.5000  6 Nd 3.00

Values from the calculation:
As for the total moment: 0.0 μB/f.u.

Arrangement two

Nd2AlSe: optimized geometry, PBE.

a b c (Å): 8.5230 8.5230 8.5230
angles (deg): 27.29 27.29 27.29
With the nearest neighbours (Å) after each atom.
Positions (direct):
Nd 0.0000 0.0000 0.0000  3 Se 2.96, 3 Al 3.22
Nd 0.1823 0.1823 0.1823  3 Se 2.99, 3 Al 3.24
Al 0.4238 0.4238 0.4238  6 Nd 3.22-3.24
Se 0.5924 0.5924 0.5924  6 Nd 2.96-2.99

Values from the calculation:
As for the total moment: 0.0 μB/f.u.

Arrangement three

Nd2AlSe: optimized geometry, PBE.

a b c (Å): 12.0148 12.0148 4.2140
angles (deg): 90.00 90.00 158.82
With the nearest neighbours (Å) after each atom.
Positions (direct):
Nd 0.0678 0.9322 0.7500  1 Se 2.94, 4 Al 3.14
Nd 0.3179 0.6821 0.7500  5 Se 2.96-3.06
Nd 0.6821 0.3179 0.2500  5 Se 2.96-3.06
Nd 0.9322 0.0678 0.2500  1 Se 2.94, 4 Al 3.14
Al 0.4636 0.5364 0.7500  2 Al 2.72
Al 0.5364 0.4636 0.2500  2 Al 2.72
Se 0.1924 0.8076 0.7500  6 Nd 2.94-3.06
Se 0.8076 0.1924 0.2500  6 Nd 2.94-3.06

Values from the calculation:
As for the total moment: 0.0 μB/f.u.

arrangement three has the most favorable energy; the next structure is 108 meV/atom above.

Arrangement one

Nd3Al2Si3: optimized geometry, PBE.

a b c (Å): 5.9569 5.9569 15.4321
angles (deg): 90.00 90.00 138.45
With the nearest neighbours (Å) after each atom.
Positions (direct):
Nd 0.0553 0.9447 0.7500  5 Si 3.02-3.27, 4 Al 3.07
Nd 0.3550 0.6450 0.5927  7 Si 3.19-3.33, 4 Al 3.20-3.29
Nd 0.3550 0.6450 0.9073  7 Si 3.19-3.33, 4 Al 3.20-3.29
Nd 0.6450 0.3550 0.0927  7 Si 3.19-3.33, 4 Al 3.20-3.29
Nd 0.6450 0.3550 0.4073  7 Si 3.19-3.33, 4 Al 3.20-3.29
Nd 0.9447 0.0553 0.2500  5 Si 3.02-3.27, 4 Al 3.07
Al 0.3572 0.6428 0.1203  3 Si 2.47-2.52
Al 0.3572 0.6428 0.3797  3 Si 2.47-2.52
Al 0.6428 0.3572 0.6203  3 Si 2.47-2.52
Al 0.6428 0.3572 0.8797  3 Si 2.47-2.52
Si 0.0736 0.9264 0.5545  1 Si 2.35, 2 Al 2.47
Si 0.0736 0.9264 0.9455  1 Si 2.35, 2 Al 2.47
Si 0.2205 0.7795 0.2500  2 Al 2.52
Si 0.7795 0.2205 0.7500  2 Al 2.52
Si 0.9264 0.0736 0.0545  1 Si 2.35, 2 Al 2.47
Si 0.9264 0.0736 0.4455  1 Si 2.35, 2 Al 2.47

Values from the calculation:
As for the total moment: 0.0 μB/f.u.

Arrangement two

Nd3Al2Si3: optimized geometry, PBE.

a b c (Å): 6.0505 6.0505 14.6646
angles (deg): 90.00 90.00 139.25
With the nearest neighbours (Å) after each atom.
Positions (direct):
Nd 0.0646 0.9354 0.6135  6 Si 3.06-3.15, 3 Al 3.20-3.28
Nd 0.0646 0.9354 0.8865  6 Si 3.06-3.15, 3 Al 3.20-3.28
Nd 0.3589 0.6411 0.7500  5 Si 3.07-3.31, 4 Al 3.21
Nd 0.6411 0.3589 0.2500  5 Si 3.07-3.31, 4 Al 3.21
Nd 0.9354 0.0646 0.1135  6 Si 3.06-3.15, 3 Al 3.20-3.28
Nd 0.9354 0.0646 0.3865  6 Si 3.06-3.15, 3 Al 3.20-3.28
Al 0.2235 0.7765 0.0978  4 Si 2.56-2.72
Al 0.2235 0.7765 0.4022  4 Si 2.56-2.72
Al 0.7765 0.2235 0.5978  4 Si 2.56-2.72
Al 0.7765 0.2235 0.9022  4 Si 2.56-2.72
Si 0.3497 0.6503 0.2500  2 Al 2.65
Si 0.3819 0.6181 0.5411  3 Al 2.56-2.72
Si 0.3819 0.6181 0.9589  3 Al 2.56-2.72
Si 0.6181 0.3819 0.0411  3 Al 2.56-2.72
Si 0.6181 0.3819 0.4589  3 Al 2.56-2.72
Si 0.6503 0.3497 0.7500  2 Al 2.65

Values from the calculation:
As for the total moment: 0.0 μB/f.u.

arrangement one has the most favorable energy; the next structure is 9 meV/atom above.

Arrangement one

Nd3Al2Si4: optimized geometry, PBE.

a b c (Å): 5.9233 5.9233 8.3312
angles (deg): 99.88 99.88 41.78
With the nearest neighbours (Å) after each atom.
Positions (direct):
Nd 0.0000 0.0000 0.0000  8 Si 3.18-3.20, 4 Al 3.20
Nd 0.3346 0.3346 0.3297  8 Si 3.10-3.23, 4 Al 3.18-3.23
Nd 0.6654 0.6654 0.6703  8 Si 3.10-3.23, 4 Al 3.18-3.23
Al 0.3879 0.3879 0.7236  3 Si 2.43-2.44
Al 0.6121 0.6121 0.2764  3 Si 2.43-2.44
Si 0.0571 0.0571 0.3910  1 Si 2.40, 2 Al 2.44
Si 0.2785 0.2785 0.9511  2 Si 2.39, 1 Al 2.43
Si 0.7215 0.7215 0.0489  2 Si 2.39, 1 Al 2.43
Si 0.9429 0.9429 0.6090  1 Si 2.40, 2 Al 2.44

Values from the calculation:
As for the total moment: 0.0 μB/f.u.

Arrangement two

Nd3Al2Si4: optimized geometry, PBE.

a b c (Å): 5.9782 5.9782 8.6783
angles (deg): 109.52 109.52 40.98
With the nearest neighbours (Å) after each atom.
Positions (direct):
Nd 0.0000 0.0000 0.0000  8 Si 3.17-3.31, 4 Al 3.50
Nd 0.3814 0.3814 0.3073  7 Si 2.94-3.19, 3 Al 3.14-3.27
Nd 0.6186 0.6186 0.6927  7 Si 2.94-3.19, 3 Al 3.14-3.27
Al 0.3228 0.3228 0.6765  4 Si 2.48-2.75
Al 0.6772 0.6772 0.3235  4 Si 2.48-2.75
Si 0.0990 0.0990 0.4078  3 Al 2.48-2.75
Si 0.2760 0.2760 0.9447  2 Si 2.46, 1 Al 2.56
Si 0.7240 0.7240 0.0553  2 Si 2.46, 1 Al 2.56
Si 0.9010 0.9010 0.5922  3 Al 2.48-2.75

Values from the calculation:
As for the total moment: 0.0 μB/f.u.

arrangement one has the most favorable energy; the next structure is 34 meV/atom above.

Arrangement one

Nd3SmAl8: optimized geometry, PBE.

a b c (Å): 9.8409 9.8409 9.8409
angles (deg): 33.49 33.49 33.49
With the nearest neighbours (Å) after each atom.
Positions (direct):
Nd 0.0000 0.0000 0.0000  12 Al 3.32-3.33, 3 Sm 3.48, 1 Nd 3.48
Nd 0.1250 0.1250 0.1250  12 Al 3.33-3.34, 4 Nd 3.47-3.48
Nd 0.5001 0.5001 0.5001  12 Al 3.33-3.34, 3 Nd 3.47, 1 Sm 3.47
Sm 0.6248 0.6248 0.6248  12 Al 3.32-3.33, 4 Nd 3.47-3.48
Al 0.0619 0.5623 0.5623  6 Al 2.83-2.85
Al 0.0627 0.0627 0.5630  6 Al 2.83-2.84
Al 0.0627 0.5630 0.0627  6 Al 2.83-2.84
Al 0.3124 0.3124 0.3124  6 Al 2.83-2.84
Al 0.5623 0.0619 0.5623  6 Al 2.83-2.85
Al 0.5623 0.5623 0.0619  6 Al 2.83-2.85
Al 0.5630 0.0627 0.0627  6 Al 2.83-2.84
Al 0.8126 0.8126 0.8126  6 Al 2.84-2.85

Values from the calculation:
As for the total moment: 0.0 μB/f.u.

Arrangement two

Nd3SmAl8: optimized geometry, PBE.

a b c (Å): 5.6637 5.6637 9.3350
angles (deg): 90.00 90.00 120.00
With the nearest neighbours (Å) after each atom.
Positions (direct):
Nd 0.0000 0.0000 0.0000  12 Al 3.31-3.38, 4 Nd 3.40-3.51
Nd 0.0000 0.0000 0.3638  12 Al 3.30-3.36, 1 Nd 3.40, 3 Sm 3.51
Nd 0.3333 0.6667 0.8635  12 Al 3.31-3.38, 1 Sm 3.40, 3 Nd 3.51
Sm 0.3333 0.6667 0.4998  12 Al 3.30-3.36, 4 Nd 3.40-3.51
Al 0.0091 0.5045 0.1825  6 Al 2.75-2.91
Al 0.3245 0.1623 0.6804  6 Al 2.76-2.91
Al 0.4955 0.5045 0.1825  6 Al 2.75-2.91
Al 0.4955 0.9909 0.1825  6 Al 2.75-2.91
Al 0.6667 0.3333 0.4321  6 Al 2.86-2.87
Al 0.6667 0.3333 0.9311  6 Al 2.88-2.89
Al 0.8377 0.1623 0.6804  6 Al 2.76-2.91
Al 0.8377 0.6755 0.6804  6 Al 2.76-2.91

Values from the calculation:
As for the total moment: 0.0 μB/f.u.

arrangement one has the most favorable energy; the next structure is 11 meV/atom above.

Arrangement one

Nd5SmAl2: optimized geometry, PBE.

a b c (Å): 8.3928 8.3928 8.3928
angles (deg): 154.52 100.70 84.93
With the nearest neighbours (Å) after each atom.
Positions (direct):
Nd 0.0000 0.0000 0.0000  2 Al 3.41, 10 Nd 3.46-3.70
Nd 0.0754 0.3579 0.7175  3 Al 3.19-3.40, 5 Nd 3.32-3.52
Nd 0.3596 0.6421 0.7175  3 Al 3.19-3.40, 5 Nd 3.32-3.52
Nd 0.6404 0.3579 0.2825  3 Al 3.19-3.40, 5 Nd 3.32-3.52
Nd 0.9246 0.6421 0.2825  3 Al 3.19-3.40, 5 Nd 3.32-3.52
Sm 0.5000 0.0000 0.5000  4 Al 3.34, 2 Sm 3.70
Al 0.2756 0.2756 0.0000  7 Nd 3.19-3.41, 2 Sm 3.34
Al 0.7244 0.7244 0.0000  7 Nd 3.19-3.41, 2 Sm 3.34

Values from the calculation:
As for the total moment: 0.0 μB/f.u.

Arrangement two

Nd5SmAl2: optimized geometry, PBE.

a b c (Å): 5.4549 5.4549 20.1445
angles (deg): 90.00 90.00 120.00
With the nearest neighbours (Å) after each atom.
Positions (direct):
Nd 0.0000 0.0000 0.1547  3 Al 3.34, 3 Sm 3.69, 6 Nd 3.69-3.72
Nd 0.0000 0.0000 0.3453  3 Al 3.34, 3 Sm 3.69, 6 Nd 3.69-3.72
Nd 0.0000 0.0000 0.6547  3 Al 3.34, 6 Nd 3.69-3.72, 3 Sm 3.69
Nd 0.0000 0.0000 0.8453  3 Al 3.34, 6 Nd 3.69-3.72, 3 Sm 3.69
Nd 0.3333 0.6667 0.0561  4 Al 3.14-3.27
Nd 0.3333 0.6667 0.2500  3 Sm 3.15
Nd 0.3333 0.6667 0.4439  4 Al 3.14-3.27
Nd 0.6667 0.3333 0.5561  4 Al 3.14-3.27
Nd 0.6667 0.3333 0.7500  3 Sm 3.15
Nd 0.6667 0.3333 0.9439  4 Al 3.14-3.27
Sm 0.3333 0.6667 0.7500  2 Al 3.03, 3 Nd 3.15
Sm 0.6667 0.3333 0.2500  2 Al 3.03, 3 Nd 3.15
Al 0.3333 0.6667 0.5996  1 Sm 3.03, 7 Nd 3.14-3.34
Al 0.3333 0.6667 0.9004  1 Sm 3.03, 7 Nd 3.14-3.34
Al 0.6667 0.3333 0.0996  1 Sm 3.03, 7 Nd 3.14-3.34
Al 0.6667 0.3333 0.4004  1 Sm 3.03, 7 Nd 3.14-3.34

Values from the calculation:
As for the total moment: 0.0 μB/f.u.

arrangement one has the most favorable energy; the next structure is 52 meV/atom above.

Arrangement one

Nd4SmAl: optimized geometry, PBE.

a b c (Å): 8.3992 8.3992 6.4282
angles (deg): 100.23 100.23 115.01
With the nearest neighbours (Å) after each atom.
Positions (direct):
Nd 0.0815 0.7168 0.9513  2 Al 3.15-3.17, 2 Nd 3.39-3.53
Nd 0.1681 0.3909 0.6263  2 Al 3.27-3.29, 2 Nd 3.39-3.55, 2 Sm 3.45-3.61
Nd 0.2832 0.9185 0.5487  2 Al 3.15-3.17, 2 Nd 3.39-3.53
Nd 0.3909 0.1681 0.1263  2 Al 3.27-3.29, 2 Nd 3.39-3.55, 2 Sm 3.45-3.61
Nd 0.6091 0.8319 0.8737  2 Al 3.27-3.29, 2 Nd 3.39-3.55, 2 Sm 3.45-3.61
Nd 0.7168 0.0815 0.4513  2 Al 3.15-3.17, 2 Nd 3.39-3.53
Nd 0.8319 0.6091 0.3737  2 Al 3.27-3.29, 2 Nd 3.39-3.55, 2 Sm 3.45-3.61
Nd 0.9185 0.2832 0.0487  2 Al 3.15-3.17, 2 Nd 3.39-3.53
Sm 0.4074 0.5926 0.2500  10 Nd 3.45-3.85
Sm 0.5926 0.4074 0.7500  10 Nd 3.45-3.85
Al 0.9999 0.0001 0.2500  8 Nd 3.15-3.29, 2 Al 3.21
Al 0.0001 0.9999 0.7500  8 Nd 3.15-3.29, 2 Al 3.21

Values from the calculation:
As for the total moment: 0.0 μB/f.u.

Arrangement two

Nd4SmAl: optimized geometry, PBE.

a b c (Å): 3.6379 3.6379 14.5264
angles (deg): 90.00 90.00 90.00
With the nearest neighbours (Å) after each atom.
Positions (direct):
Nd 0.0000 0.0000 0.1348  4 Al 3.23
Nd 0.0000 0.0000 0.8652  4 Al 3.23
Nd 0.5000 0.5000 0.3202  8 Nd 3.64-3.72, 4 Sm 3.67
Nd 0.5000 0.5000 0.6798  8 Nd 3.64-3.72, 4 Sm 3.67
Sm 0.0000 0.0000 0.5000  4 Sm 3.64, 8 Nd 3.67
Al 0.5000 0.5000 0.0000  8 Nd 3.23

Values from the calculation:
As for the total moment: 0.0 μB/f.u.

arrangement two has the most favorable energy; the next structure is 64 meV/atom above.